1.
## TbNbPd (PBE-GGA)

Data for a relaxed TbNbPd crystal.

Computed properties:
The calculation puts the energy of formation from the pure elements at -0.182 eV/atom.

Geometry as CIF:
```
data_TbNbPd
_cell_length_a 3.3784
_cell_length_b 3.3784
_cell_length_c 10.9446
_cell_angle_alpha 90.00
_cell_angle_beta 90.00
_cell_angle_gamma 90.00
_symmetry_space_group_name_H-M 'P 4/m m m'
_symmetry_Int_Tables_number 123
_symmetry_space_group_name_Hall '-P 4 2'
loop_
_atom_site_label
_atom_site_fract_x
_atom_site_fract_y
_atom_site_fract_z
Tb1 0.0000 0.0000 0.1679
Nb1 0.5000 0.5000 0.3645
Pd1 0.0000 0.0000 0.5000
Pd2 0.5000 0.5000 0.0000
```

2.
## Pu2BeAgO8 (PBE-GGA)

Data for a relaxed Pu2BeAgO8 crystal.

Computed properties:
The formation energy from raw total energies is -1.940 eV per atom.

Geometry as CIF:
```
data_Pu2BeAgO8
_cell_length_a 6.3399
_cell_length_b 7.1751
_cell_length_c 7.0501
_cell_angle_alpha 90.00
_cell_angle_beta 90.00
_cell_angle_gamma 90.00
_symmetry_space_group_name_H-M 'C m m m'
_symmetry_Int_Tables_number 65
_symmetry_space_group_name_Hall '-C 2 2'
loop_
_atom_site_label
_atom_site_fract_x
_atom_site_fract_y
_atom_site_fract_z
Pu1 0.0000 0.0000 0.2434
Be1 0.0000 0.5000 0.0000
Ag1 0.0000 0.5000 0.5000
O1 0.0000 0.2558 0.2370
O2 0.1848 0.0000 0.5000
O3 0.2486 0.5000 0.0000
```

3.
## La8Te4AuSe3 (PBE-GGA)

Data for a relaxed La8Te4AuSe3 crystal.

Computed properties:
The formation energy from raw total energies is -1.644 eV per atom.

Geometry as CIF:
```
data_La8Te4AuSe3
_cell_length_a 8.8723
_cell_length_b 8.8723
_cell_length_c 22.1475
_cell_angle_alpha 90.00
_cell_angle_beta 90.00
_cell_angle_gamma 120.00
_symmetry_space_group_name_H-M 'R -3 m'
_symmetry_Int_Tables_number 166
_symmetry_space_group_name_Hall '-R 3 2"'
loop_
_atom_site_label
_atom_site_fract_x
_atom_site_fract_y
_atom_site_fract_z
La1 0.0000 0.0000 0.2420
La2 0.0014 0.5007 0.7565
Te1 0.0000 0.0000 0.0000
Te2 0.0000 0.5000 0.0000
Au1 0.0000 0.0000 0.5000
Se1 0.0000 0.5000 0.5000
```

4.
## RbVZnBr6 (PBE-GGA)

Data for a relaxed RbVZnBr6 crystal.

Computed properties:
The formation energy from raw total energies is -1.031 eV per atom.

Geometry as CIF:
```
data_RbVZnBr6
_cell_length_a 6.7804
_cell_length_b 6.7804
_cell_length_c 7.7698
_cell_angle_alpha 90.00
_cell_angle_beta 90.00
_cell_angle_gamma 120.00
_symmetry_space_group_name_H-M 'P 3 1 2'
_symmetry_Int_Tables_number 149
loop_
_symmetry_equiv_pos_as_xyz
'x,y,z'
'-y,x-y,z'
'-x+y,-x,z'
'-y,-x,-z'
'-x+y,y,-z'
'x,x-y,-z'
loop_
_atom_site_label
_atom_site_fract_x
_atom_site_fract_y
_atom_site_fract_z
Rb1 0.0000 0.0000 0.0000
V1 0.3333 0.6667 0.5000
Zn1 0.6667 0.3333 0.5000
Br1 0.0100 0.3776 0.6904
```

5.
## FeHI2N (PBE-GGA)

Data for a relaxed FeHI2N crystal.

Computed properties:
Its energy above the most stable polymorph in this dataset is 0.000 eV per atom.

Geometry as CIF:
```
data_FeHI2N
_cell_length_a 5.4877
_cell_length_b 5.4877
_cell_length_c 3.4431
_cell_angle_alpha 90.00
_cell_angle_beta 90.00
_cell_angle_gamma 90.00
_symmetry_space_group_name_H-M 'P 4/m m m'
_symmetry_Int_Tables_number 123
_symmetry_space_group_name_Hall '-P 4 2'
loop_
_atom_site_label
_atom_site_fract_x
_atom_site_fract_y
_atom_site_fract_z
Fe1 0.0000 0.0000 0.0000
H1 0.5000 0.5000 0.5000
I1 0.0000 0.5000 0.0000
N1 0.0000 0.0000 0.5000
```

6.
## NaSnHg3 (PBE-GGA)

Data for a relaxed NaSnHg3 crystal.

Computed properties:
The calculation puts the energy of formation from the pure elements at -0.097 eV/atom. Its energy above the most stable polymorph in this dataset is 0.017 eV per atom.

Geometry as CIF:
```
data_NaSnHg3
_cell_length_a 8.7999
_cell_length_b 5.9824
_cell_length_c 10.3866
_cell_angle_alpha 90.00
_cell_angle_beta 105.95
_cell_angle_gamma 90.00
_symmetry_space_group_name_H-M 'P 1 21/c 1'
_symmetry_Int_Tables_number 14
loop_
_symmetry_equiv_pos_as_xyz
'x,y,z'
'-x,-y,-z'
'-x,y+1/2,-z+1/2'
'x,-y+1/2,z+1/2'
loop_
_atom_site_label
_atom_site_fract_x
_atom_site_fract_y
_atom_site_fract_z
Na1 0.1680 0.1533 0.1275
Sn1 0.2219 0.6457 0.9501
Hg1 0.0548 0.6722 0.1740
Hg2 0.3500 0.1241 0.9122
Hg3 0.4974 0.5761 0.8169
```

7.
## TeAsOsN2 (PBE-GGA)

Data for a relaxed TeAsOsN2 crystal.

Computed properties:
The formation energy from raw total energies is 0.820 eV per atom. Its energy above the most stable polymorph in this dataset is 0.000 eV per atom.

Geometry as CIF:
```
data_TeAsOsN2
_cell_length_a 3.8552
_cell_length_b 3.8552
_cell_length_c 5.9177
_cell_angle_alpha 90.00
_cell_angle_beta 90.00
_cell_angle_gamma 90.00
_symmetry_space_group_name_H-M 'P 4/m m m'
_symmetry_Int_Tables_number 123
_symmetry_space_group_name_Hall '-P 4 2'
loop_
_atom_site_label
_atom_site_fract_x
_atom_site_fract_y
_atom_site_fract_z
Te1 0.0000 0.0000 0.0000
As1 0.5000 0.5000 0.0000
Os1 0.0000 0.0000 0.5000
N1 0.0000 0.5000 0.5000
```

8.
## Mn3AlH (PBE-GGA)

Data for a relaxed Mn3AlH crystal.

Computed properties:
Its total DFT energy (no corrections) is -0.4999 Ry per atom.

Geometry as CIF:
```
data_Mn3AlH
_cell_length_a 2.6825
_cell_length_b 2.6825
_cell_length_c 16.3169
_cell_angle_alpha 90.00
_cell_angle_beta 90.00
_cell_angle_gamma 120.00
_symmetry_space_group_name_H-M 'P 63/m m c'
_symmetry_Int_Tables_number 194
_symmetry_space_group_name_Hall '-P 6c 2c'
loop_
_atom_site_label
_atom_site_fract_x
_atom_site_fract_y
_atom_site_fract_z
Mn1 0.0000 0.0000 0.2500
Mn2 0.3333 0.6667 0.1288
Al1 0.0000 0.0000 0.0000
H1 0.3333 0.6667 0.2500
```

9.
## Y2C3 (PBE-GGA)

Data for a relaxed Y2C3 crystal.

Computed properties:
The calculation puts the energy of formation from the pure elements at 0.467 eV/atom. Its energy above the most stable polymorph in this dataset is 0.725 eV per atom.

Geometry as CIF:
```
data_Y2C3
_cell_length_a 3.3862
_cell_length_b 3.3862
_cell_length_c 19.9042
_cell_angle_alpha 90.00
_cell_angle_beta 90.00
_cell_angle_gamma 120.00
_symmetry_space_group_name_H-M 'R -3 m'
_symmetry_Int_Tables_number 166
_symmetry_space_group_name_Hall '-R 3 2"'
loop_
_atom_site_label
_atom_site_fract_x
_atom_site_fract_y
_atom_site_fract_z
Y1 0.0000 0.0000 0.0933
C1 0.0000 0.0000 0.3281
C2 0.0000 0.0000 0.5000
```

10.
## NdMg2In2Ag2 (PBE-GGA)

Data for a relaxed NdMg2In2Ag2 crystal.

Computed properties:
The calculation puts the energy of formation from the pure elements at -0.257 eV/atom.

Geometry as CIF:
```
data_NdMg2In2Ag2
_cell_length_a 4.7224
_cell_length_b 4.7224
_cell_length_c 25.1604
_cell_angle_alpha 90.00
_cell_angle_beta 90.00
_cell_angle_gamma 120.00
_symmetry_space_group_name_H-M 'R -3 m'
_symmetry_Int_Tables_number 166
_symmetry_space_group_name_Hall '-R 3 2"'
loop_
_atom_site_label
_atom_site_fract_x
_atom_site_fract_y
_atom_site_fract_z
Nd1 0.0000 0.0000 0.0000
Mg1 0.0000 0.0000 0.1378
In1 0.0000 0.0000 0.2619
Ag1 0.0000 0.0000 0.4387
```

11.
## ScGa5Tc (PBE-GGA)

Data for a relaxed ScGa5Tc crystal.

Computed properties:
The calculation puts the energy of formation from the pure elements at -0.344 eV/atom.

Geometry as CIF:
```
data_ScGa5Tc
_cell_length_a 4.2836
_cell_length_b 4.2836
_cell_length_c 6.7201
_cell_angle_alpha 90.00
_cell_angle_beta 90.00
_cell_angle_gamma 90.00
_symmetry_space_group_name_H-M 'P 4/m m m'
_symmetry_Int_Tables_number 123
_symmetry_space_group_name_Hall '-P 4 2'
loop_
_atom_site_label
_atom_site_fract_x
_atom_site_fract_y
_atom_site_fract_z
Sc1 0.0000 0.0000 0.0000
Ga1 0.0000 0.5000 0.2943
Ga2 0.5000 0.5000 0.0000
Tc1 0.0000 0.0000 0.5000
```